1.
A plane-wave DFT calculation with GGA-PBEsol was carried out for a relaxed ZrZn8 crystal.

Values from the calculation:
Energy relative to the elements in eV per atom: -0.1150
Crystal system: tetragonal

a = 3.8997 Å, b = 6.1700 Å, c = 6.1700 Å
α = 84.27°, β = 71.58°, γ = 71.58°
Fractional coordinates of all 9 atoms:
Zn 0.6779 0.6442 0.0000
Zn 0.3221 0.3558 0.0000
Zn 0.0000 0.6594 0.3406
Zn 0.3221 0.0000 0.3558
Zn 0.6594 0.3406 0.3406
Zn 0.6779 0.0000 0.6442
Zn 0.0000 0.3406 0.6594
Zn 0.3406 0.6594 0.6594
Zr 0.0000 0.0000 0.0000

***

2.
A plane-wave DFT calculation with GGA-PBEsol was carried out for a relaxed ZrZn3 crystal.

Values from the calculation:
Energy relative to the elements in eV per atom: -0.2364
Crystal system: tetragonal

a = 4.1366 Å, b = 4.1366 Å, c = 7.9733 Å
α = 105.03°, β = 105.03°, γ = 90.00°
Fractional coordinates of all 8 atoms:
Zn 0.5000 0.0000 0.0000
Zn 0.0000 0.5000 0.0000
Zn 0.2500 0.7500 0.5000
Zn 0.7500 0.2500 0.5000
Zn 0.8661 0.8661 0.7321
Zn 0.1339 0.1339 0.2679
Zr 0.6270 0.6270 0.2541
Zr 0.3730 0.3730 0.7459

***

Q: What is the formula in the first record?
A: ZrZn8

***

Q: Which formula does entry 2 have?
A: ZrZn3

***

Please write out number 2 again, unchanged.
A plane-wave DFT calculation with GGA-PBEsol was carried out for a relaxed ZrZn3 crystal.

Values from the calculation:
Energy relative to the elements in eV per atom: -0.2364
Crystal system: tetragonal

a = 4.1366 Å, b = 4.1366 Å, c = 7.9733 Å
α = 105.03°, β = 105.03°, γ = 90.00°
Fractional coordinates of all 8 atoms:
Zn 0.5000 0.0000 0.0000
Zn 0.0000 0.5000 0.0000
Zn 0.2500 0.7500 0.5000
Zn 0.7500 0.2500 0.5000
Zn 0.8661 0.8661 0.7321
Zn 0.1339 0.1339 0.2679
Zr 0.6270 0.6270 0.2541
Zr 0.3730 0.3730 0.7459

***

Q: energy relative to the elements of number 1 (ZrZn8)?
A: -0.1150 eV per atom